No. 1
First-principles (PBE) data for crystalline CeB3Ir3 at its relaxed geometry, as listed in Alexandria via LeMat-Bulk.

Cell lengths 5.914, 5.914, 5.914 Å; angles 90.00, 90.00, 90.00 degrees
Fractional positions:
Ce: 0.000 0.000 0.000
Ce: 0.500 0.500 0.500
B: 0.000 0.250 0.500
B: 0.000 0.750 0.500
B: 0.250 0.500 0.000
B: 0.500 0.000 0.250
B: 0.500 0.000 0.750
B: 0.750 0.500 0.000
Ir: 0.000 0.500 0.250
Ir: 0.000 0.500 0.750
Ir: 0.250 0.000 0.500
Ir: 0.500 0.250 0.000
Ir: 0.500 0.750 0.000
Ir: 0.750 0.000 0.500

## Properties
raw total energy: -7.8820 eV/atom
total magnetic moment: 0.159 μB per atom
ΔE_f: -2.62 eV/f.u.



No. 2
First-principles (PBE) data for crystalline CeB2Ir2 at its relaxed geometry, as listed in Alexandria via LeMat-Bulk.

Cell lengths 7.103, 6.128, 5.580 Å; angles 74.54, 56.25, 49.21 degrees
Fractional positions:
Ce: 0.125 0.125 0.125
Ce: 0.875 0.875 0.875
B: 0.195 0.555 0.195
B: 0.445 0.805 0.445
B: 0.555 0.195 0.555
B: 0.805 0.445 0.805
Ir: 0.245 0.245 0.505
Ir: 0.495 0.495 0.755
Ir: 0.505 0.505 0.245
Ir: 0.755 0.755 0.495

## Properties
offset from the most stable computed form: 0 meV/atom
raw total energy: -8.1085 eV/atom
total magnetic moment: 0.195 μB per atom
ΔE_f: -3.53 eV/f.u.



No. 3
First-principles (PBE) data for crystalline CeB2Ir at its relaxed geometry, as listed in Alexandria via LeMat-Bulk.

Cell lengths 5.202, 5.202, 5.202 Å; angles 41.78, 41.78, 41.78 degrees
Fractional positions:
Ce: 0.000 0.000 0.000
B: 0.204 0.204 0.204
B: 0.796 0.796 0.796
Ir: 0.500 0.500 0.500

## Properties
raw total energy: -7.4256 eV/atom
total magnetic moment: 0.000 μB per atom
ΔE_f: -1.55 eV/f.u.



No. 4
First-principles (PBE) data for crystalline Ce3B2Ir7 at its relaxed geometry, as listed in Alexandria via LeMat-Bulk.

Cell lengths 12.511, 12.511, 4.002 Å; angles 90.00, 90.00, 161.59 degrees
Fractional positions:
Ce: 0.000 0.000 0.000
Ce: 0.177 0.823 0.000
Ce: 0.823 0.177 0.000
B: 0.373 0.627 0.500
B: 0.627 0.373 0.500
Ir: 0.087 0.913 0.500
Ir: 0.286 0.714 0.500
Ir: 0.413 0.587 0.000
Ir: 0.500 0.500 0.500
Ir: 0.587 0.413 0.000
Ir: 0.714 0.286 0.500
Ir: 0.913 0.087 0.500

## Properties
offset from the most stable computed form: 86 meV/atom
raw total energy: -8.4311 eV/atom
total magnetic moment: 0.000 μB per atom
ΔE_f: -7.99 eV/f.u.



No. 5
First-principles (PBE) data for crystalline LiCe2B2Ir5 at its relaxed geometry, as listed in Alexandria via LeMat-Bulk.

Cell lengths 9.560, 9.560, 3.280 Å; angles 90.00, 90.00, 90.00 degrees
Fractional positions:
Li: 0.000 0.000 0.000
Li: 0.500 0.500 0.000
Ce: 0.178 0.322 0.000
Ce: 0.322 0.822 0.000
Ce: 0.678 0.178 0.000
Ce: 0.822 0.678 0.000
B: 0.122 0.622 0.000
B: 0.378 0.122 0.000
B: 0.622 0.878 0.000
B: 0.878 0.378 0.000
Ir: 0.000 0.500 0.500
Ir: 0.070 0.779 0.500
Ir: 0.221 0.070 0.500
Ir: 0.279 0.570 0.500
Ir: 0.430 0.279 0.500
Ir: 0.500 0.000 0.500
Ir: 0.570 0.721 0.500
Ir: 0.721 0.430 0.500
Ir: 0.779 0.930 0.500
Ir: 0.930 0.221 0.500

## Properties
raw total energy: -7.6753 eV/atom
total magnetic moment: 0.000 μB per atom
ΔE_f: -5.31 eV/f.u.



No. 6
First-principles (PBE) data for crystalline Ce2Mg2BIr4 at its relaxed geometry, as listed in Alexandria via LeMat-Bulk.

Cell lengths 5.973, 5.973, 5.973 Å; angles 117.43, 117.43, 94.51 degrees
Fractional positions:
Ce: 0.250 0.750 0.500
Ce: 0.750 0.250 0.500
Mg: 0.196 0.196 0.000
Mg: 0.804 0.804 0.000
B: 0.500 0.500 0.000
Ir: 0.258 0.258 0.516
Ir: 0.258 0.742 0.000
Ir: 0.742 0.258 0.000
Ir: 0.742 0.742 0.484

## Properties
raw total energy: -6.8885 eV/atom
total magnetic moment: 0.074 μB per atom
ΔE_f: -4.82 eV/f.u.



No. 7
First-principles (PBE) data for crystalline Ce2NiB2Ir5 at its relaxed geometry, as listed in Alexandria via LeMat-Bulk.

Cell lengths 9.316, 9.316, 3.405 Å; angles 90.00, 90.00, 90.00 degrees
Fractional positions:
Ce: 0.179 0.321 0.000
Ce: 0.321 0.821 0.000
Ce: 0.679 0.179 0.000
Ce: 0.821 0.679 0.000
Ni: 0.000 0.000 0.000
Ni: 0.500 0.500 0.000
B: 0.121 0.621 0.000
B: 0.379 0.121 0.000
B: 0.621 0.879 0.000
B: 0.879 0.379 0.000
Ir: 0.000 0.500 0.500
Ir: 0.070 0.784 0.500
Ir: 0.216 0.070 0.500
Ir: 0.284 0.570 0.500
Ir: 0.430 0.284 0.500
Ir: 0.500 0.000 0.500
Ir: 0.570 0.716 0.500
Ir: 0.716 0.430 0.500
Ir: 0.784 0.930 0.500
Ir: 0.930 0.216 0.500

## Properties
raw total energy: -8.0259 eV/atom
total magnetic moment: 0.002 μB per atom
ΔE_f: -4.95 eV/f.u.



No. 8
First-principles (PBE) data for crystalline CeB4Ir2Os at its relaxed geometry, as listed in Alexandria via LeMat-Bulk.

Cell lengths 8.616, 8.616, 8.616 Å; angles 24.74, 24.74, 24.74 degrees
Fractional positions:
Ce: 0.000 0.000 0.000
B: 0.127 0.127 0.127
B: 0.406 0.406 0.406
B: 0.594 0.594 0.594
B: 0.873 0.873 0.873
Ir: 0.239 0.239 0.239
Ir: 0.761 0.761 0.761
Os: 0.500 0.500 0.500

## Properties
raw total energy: -7.7908 eV/atom
total magnetic moment: 0.000 μB per atom
ΔE_f: -0.73 eV/f.u.